No. 1
# SrScPb PBE-GGA relaxed
# density of states at the Fermi level = 1.547 states/eV/f.u.
# formation energy from the elements = -0.453 eV per atom
# DFT total energy = -0.1602 Ha/atom
# size of the total moment = 0.989 μB per formula unit
data_SrScPb
_cell_length_a 4.801
_cell_length_b 4.801
_cell_length_c 8.435
_cell_angle_alpha 90.00
_cell_angle_beta 90.00
_cell_angle_gamma 90.00
_space_group_name_H-M_alt 'P 4/n m m'
_space_group_IT_number 129
loop_
_space_group_symop_operation_xyz
'x,y,z'
'-x,-y,-z'
'-y+1/2,x,z'
'y+1/2,-x,-z'
'-x+1/2,-y+1/2,z'
'x+1/2,y+1/2,-z'
'y,-x+1/2,z'
'-y,x+1/2,-z'
'x+1/2,-y,-z'
'-x+1/2,y,z'
'-y,-x,-z'
'y,x,z'
'-x,y+1/2,-z'
'x,-y+1/2,z'
'y+1/2,x+1/2,-z'
'-y+1/2,-x+1/2,z'
loop_
_atom_site_label
_atom_site_type_symbol
_atom_site_fract_x
_atom_site_fract_y
_atom_site_fract_z
Sr1 Sr 0.250 0.250 0.153
Sc1 Sc 0.250 0.750 0.500
Pb1 Pb 0.250 0.250 0.731

---

No. 2
# Sc2RhAuCl PBE-GGA relaxed
# density of states at the Fermi level = 3.462 states/eV/f.u.
# DFT total energy = -0.1956 Ha/atom
# size of the total moment = 0.000 μB per formula unit
data_Sc2RhAuCl
_cell_length_a 4.952
_cell_length_b 4.952
_cell_length_c 5.063
_cell_angle_alpha 90.00
_cell_angle_beta 90.00
_cell_angle_gamma 90.00
_space_group_name_H-M_alt 'P 4/m m m'
_space_group_IT_number 123
_space_group_name_Hall '-P 4 2'
loop_
_atom_site_label
_atom_site_type_symbol
_atom_site_fract_x
_atom_site_fract_y
_atom_site_fract_z
Sc1 Sc 0.000 0.500 0.000
Rh1 Rh 0.000 0.000 0.000
Au1 Au 0.000 0.000 0.500
Cl1 Cl 0.500 0.500 0.500

---

No. 3
# Co2IrSe PBE-GGA relaxed
# density of states at the Fermi level = 5.028 states/eV/f.u.
# DFT total energy = -0.2317 Ha/atom
# size of the total moment = 2.825 μB per formula unit
data_Co2IrSe
_cell_length_a 2.928
_cell_length_b 4.169
_cell_length_c 8.802
_cell_angle_alpha 90.00
_cell_angle_beta 90.00
_cell_angle_gamma 90.00
_space_group_name_H-M_alt 'I m m 2'
_space_group_IT_number 44
_space_group_name_Hall 'I 2 -2'
loop_
_atom_site_label
_atom_site_type_symbol
_atom_site_fract_x
_atom_site_fract_y
_atom_site_fract_z
Co1 Co 0.000 0.000 0.000
Co2 Co 0.000 0.500 0.222
Ir1 Ir 0.000 0.500 0.770
Se1 Se 0.000 0.000 0.503